[1]
{"formula": "La4SmHo2", "functional": "GGA-PBE", "state": "optimized geometry", "e_tot_ev_per_cell": -66.2, "spacegroup": "No. 9", "polymorph_energy_mev_per_atom": 0.0, "formation_energy_ev_per_atom": 0.071, "lattice_angstrom": [[3.273, -12.332, 0.000], [3.273, 12.332, 0.000], [-3.269, 0.000, 6.084]], "species": ["La", "La", "La", "La", "La", "La", "La", "La", "Sm", "Sm", "Ho", "Ho", "Ho", "Ho"], "frac_coords": [[0.019, 0.981, 0.500], [0.388, 0.783, 0.724], [0.404, 0.866, 0.268], [0.444, 0.549, 0.542], [0.549, 0.444, 0.042], [0.783, 0.388, 0.224], [0.866, 0.404, 0.768], [0.981, 0.019, 0.000], [0.161, 0.912, 0.132], [0.912, 0.161, 0.632], [0.267, 0.952, 0.677], [0.472, 0.657, 0.087], [0.657, 0.472, 0.587], [0.952, 0.267, 0.177]]}

[2]
{"formula": "SmYAg", "functional": "GGA-PBE", "state": "optimized geometry", "e_tot_ev_per_cell": -14.5, "spacegroup": "No. 107", "polymorph_energy_mev_per_atom": 18.9, "formation_energy_ev_per_atom": -0.170, "lattice_angstrom": [[-1.817, 1.817, 6.365], [1.817, -1.817, 6.365], [1.817, 1.817, -6.365]], "species": ["Sm", "Y", "Ag"], "frac_coords": [[0.000, 0.000, 0.000], [0.297, 0.297, 0.000], [0.655, 0.655, 0.000]]}

[3]
{"formula": "PuNbBiO6", "functional": "GGA-PBE", "state": "optimized geometry", "e_tot_ev_per_cell": -156.8, "spacegroup": "No. 163", "formation_energy_uncorrected_ev_per_atom": -2.265, "lattice_angstrom": [[5.645, 0.000, 0.000], [-2.823, 4.889, 0.000], [0.000, 0.000, 9.463]], "species": ["Pu", "Pu", "Nb", "Nb", "Bi", "Bi", "O", "O", "O", "O", "O", "O", "O", "O", "O", "O", "O", "O"], "frac_coords": [[0.000, 0.000, 0.000], [0.000, 0.000, 0.500], [0.333, 0.667, 0.250], [0.667, 0.333, 0.750], [0.333, 0.667, 0.750], [0.667, 0.333, 0.250], [0.047, 0.356, 0.130], [0.047, 0.691, 0.370], [0.309, 0.356, 0.370], [0.309, 0.953, 0.130], [0.356, 0.047, 0.630], [0.356, 0.309, 0.870], [0.644, 0.691, 0.130], [0.644, 0.953, 0.370], [0.691, 0.047, 0.870], [0.691, 0.644, 0.630], [0.953, 0.309, 0.630], [0.953, 0.644, 0.870]]}

[4]
{"formula": "Rb2ZnOs", "functional": "GGA-PBE", "state": "optimized geometry", "e_tot_ev_per_cell": -16.9, "spacegroup": "No. 122", "formation_energy_ev_per_atom": 1.498, "lattice_angstrom": [[-2.082, 2.082, 11.745], [2.082, -2.082, 11.745], [2.082, 2.082, -11.745]], "species": ["Rb", "Rb", "Rb", "Rb", "Zn", "Zn", "Os", "Os"], "frac_coords": [[0.125, 0.625, 0.000], [0.375, 0.375, 0.500], [0.625, 0.125, 0.000], [0.875, 0.875, 0.500], [0.000, 0.000, 0.000], [0.750, 0.250, 0.500], [0.250, 0.750, 0.500], [0.500, 0.500, 0.000]]}

[5]
{"formula": "Fe3P4", "functional": "GGA-PBE", "state": "optimized geometry", "e_tot_ev_per_cell": -47.8, "spacegroup": "No. 139", "polymorph_energy_mev_per_atom": 0.0, "formation_energy_ev_per_atom": -0.104, "lattice_angstrom": [[-1.546, 1.546, 8.662], [1.546, -1.546, 8.662], [1.546, 1.546, -8.662]], "species": ["Fe", "Fe", "Fe", "P", "P", "P", "P"], "frac_coords": [[0.000, 0.000, 0.000], [0.301, 0.301, 0.000], [0.699, 0.699, 0.000], [0.167, 0.167, 0.000], [0.431, 0.431, 0.000], [0.569, 0.569, 0.000], [0.833, 0.833, 0.000]]}

[6]
{"formula": "KIrRh", "functional": "GGA-PBE", "state": "optimized geometry", "e_tot_ev_per_cell": -14.4, "spacegroup": "No. 187", "polymorph_energy_mev_per_atom": 605.1, "formation_energy_ev_per_atom": 0.966, "lattice_angstrom": [[4.878, 0.000, 0.000], [-2.439, 4.225, 0.000], [0.000, 0.000, 2.694]], "species": ["K", "Ir", "Rh"], "frac_coords": [[0.000, 0.000, 0.000], [0.333, 0.667, 0.500], [0.667, 0.333, 0.500]]}

[7]
{"formula": "BeSiRh2", "functional": "GGA-PBE", "state": "optimized geometry", "e_tot_ev_per_cell": -49.8, "spacegroup": "No. 122", "formation_energy_uncorrected_ev_per_atom": -0.256, "polymorph_energy_mev_per_atom": 564.3, "lattice_angstrom": [[-3.063, 3.063, 2.821], [3.063, -3.063, 2.821], [3.063, 3.063, -2.821]], "species": ["Be", "Be", "Si", "Si", "Rh", "Rh", "Rh", "Rh"], "frac_coords": [[0.000, 0.000, 0.000], [0.750, 0.250, 0.500], [0.250, 0.750, 0.500], [0.500, 0.500, 0.000], [0.111, 0.625, 0.986], [0.375, 0.361, 0.486], [0.639, 0.125, 0.014], [0.875, 0.889, 0.514]]}

[8]
{"formula": "CsK2Rb2", "functional": "GGA-PBE", "state": "optimized geometry", "e_tot_ev_per_cell": -4.9, "spacegroup": "No. 12", "polymorph_energy_mev_per_atom": 0.0, "formation_energy_ev_per_atom": 0.014, "lattice_angstrom": [[12.036, -2.417, 0.000], [12.036, 2.417, 0.000], [-2.629, 0.000, 7.554]], "species": ["Cs", "K", "K", "Rb", "Rb"], "frac_coords": [[0.000, 0.000, 0.000], [0.289, 0.289, 0.788], [0.711, 0.711, 0.212], [0.395, 0.395, 0.393], [0.605, 0.605, 0.607]]}

[9]
{"formula": "HoCu2Ni", "functional": "GGA-PBE", "state": "optimized geometry", "e_tot_ev_per_cell": -39.3, "spacegroup": "No. 63", "formation_energy_ev_per_atom": -0.279, "lattice_angstrom": [[2.011, -4.621, 0.000], [2.011, 4.621, 0.000], [0.000, 0.000, 6.741]], "species": ["Ho", "Ho", "Cu", "Cu", "Cu", "Cu", "Ni", "Ni"], "frac_coords": [[0.076, 0.924, 0.750], [0.924, 0.076, 0.250], [0.363, 0.637, 0.560], [0.363, 0.637, 0.940], [0.637, 0.363, 0.060], [0.637, 0.363, 0.440], [0.214, 0.786, 0.250], [0.786, 0.214, 0.750]]}

[10]
{"formula": "RbNpBe2O6", "functional": "GGA-PBE", "state": "optimized geometry", "e_tot_ev_per_cell": -149.4, "spacegroup": "No. 15", "formation_energy_uncorrected_ev_per_atom": -2.360, "lattice_angstrom": [[4.708, -5.051, 0.000], [4.708, 5.051, 0.000], [-1.745, 0.000, 5.618]], "species": ["Rb", "Rb", "Np", "Np", "Be", "Be", "Be", "Be", "O", "O", "O", "O", "O", "O", "O", "O", "O", "O", "O", "O"], "frac_coords": [[0.088, 0.912, 0.750], [0.912, 0.088, 0.250], [0.313, 0.687, 0.250], [0.687, 0.313, 0.750], [0.221, 0.367, 0.854], [0.367, 0.221, 0.354], [0.633, 0.779, 0.646], [0.779, 0.633, 0.146], [0.017, 0.695, 0.254], [0.262, 0.615, 0.914], [0.281, 0.358, 0.162], [0.305, 0.983, 0.246], [0.358, 0.281, 0.662], [0.385, 0.738, 0.586], [0.615, 0.262, 0.414], [0.642, 0.719, 0.338], [0.695, 0.017, 0.754], [0.719, 0.642, 0.838], [0.738, 0.385, 0.086], [0.983, 0.305, 0.746]]}

[11]
{"formula": "HfFe2Ru2", "functional": "GGA-PBE", "state": "optimized geometry", "e_tot_ev_per_cell": -90.1, "spacegroup": "No. 127", "polymorph_energy_mev_per_atom": 76.8, "formation_energy_ev_per_atom": 0.076, "lattice_angstrom": [[7.190, 0.000, 0.000], [0.000, 7.190, 0.000], [0.000, 0.000, 2.711]], "species": ["Hf", "Hf", "Fe", "Fe", "Fe", "Fe", "Ru", "Ru", "Ru", "Ru"], "frac_coords": [[0.000, 0.000, 0.000], [0.500, 0.500, 0.000], [0.171, 0.329, 0.500], [0.329, 0.829, 0.500], [0.671, 0.171, 0.500], [0.829, 0.671, 0.500], [0.126, 0.626, 0.000], [0.374, 0.126, 0.000], [0.626, 0.874, 0.000], [0.874, 0.374, 0.000]]}

[12]
{"formula": "In2ReSi2", "functional": "GGA-PBE", "state": "optimized geometry", "e_tot_ev_per_cell": -54.0, "spacegroup": "No. 127", "formation_energy_uncorrected_ev_per_atom": 0.352, "lattice_angstrom": [[6.430, 0.000, 0.000], [0.000, 6.430, 0.000], [0.000, 0.000, 4.391]], "species": ["In", "In", "In", "In", "Re", "Re", "Si", "Si", "Si", "Si"], "frac_coords": [[0.181, 0.319, 0.000], [0.319, 0.819, 0.000], [0.681, 0.181, 0.000], [0.819, 0.681, 0.000], [0.000, 0.000, 0.500], [0.500, 0.500, 0.500], [0.133, 0.633, 0.500], [0.367, 0.133, 0.500], [0.633, 0.867, 0.500], [0.867, 0.367, 0.500]]}

no.,total magnetization (μB per formula unit)
1,0.000
2,0.616
3,4.000
4,0.000
5,1.332
6,0.000
7,0.000
8,0.000
9,0.000
10,0.000
11,0.000
12,0.091